# 1
The following is a DFT calculation (PBE-GGA) of a relaxed structure of Tb4CeErS8.

N(E_F) ... 12.42 states/eV per cell
Symmetry ... R3m
Raw formation energy ... -26.84 eV per formula unit

extended XYZ file:
```
14
Lattice="4.066 2.348 6.613 -4.066 2.348 6.613 0.000 -4.695 6.613" Properties=species:S:1:pos:R:3 pbc="T T T"
Tb 0.000 0.000 0.000
Tb 0.000 -2.350 10.758
Tb -2.035 1.175 10.758
Tb 2.035 1.175 10.758
Ce 0.000 0.000 14.903
Er 0.000 0.000 7.453
S 0.000 0.000 2.627
S 0.000 -2.190 5.776
S -1.896 1.095 5.776
S -1.834 -1.059 9.157
S 1.896 1.095 5.776
S 1.834 -1.059 9.157
S 0.000 2.118 9.157
S 0.000 0.000 12.193
```

---

# 2
The following is a DFT calculation (PBE-GGA) of a relaxed structure of Tb3Ce2ErS6.

N(E_F) ... 11.98 states/eV per cell
Symmetry ... C2/m
Raw formation energy ... -24.21 eV per formula unit

extended XYZ file:
```
12
Lattice="3.415 -5.923 0.000 3.415 5.923 0.000 -2.291 0.000 6.458" Properties=species:S:1:pos:R:3 pbc="T T T"
Tb 0.000 0.000 0.000
Tb 3.415 1.988 0.000
Tb 3.415 -1.988 0.000
Ce 2.269 3.953 3.229
Ce 2.269 -3.953 3.229
Er 2.269 0.000 3.229
S 1.161 1.932 1.591
S 0.041 0.000 4.875
S 1.161 -1.932 1.591
S 3.377 1.932 4.867
S 4.497 0.000 1.583
S 3.377 -1.932 4.867
```

---

# 3
The following is a DFT calculation (PBE-GGA) of a relaxed structure of TbCe3Er2S6.

N(E_F) ... 15.96 states/eV per cell
Symmetry ... C2/m
Raw formation energy ... -24.27 eV per formula unit

extended XYZ file:
```
12
Lattice="3.404 -5.901 0.000 3.404 5.901 0.000 -2.274 0.000 6.542" Properties=species:S:1:pos:R:3 pbc="T T T"
Tb 0.000 0.000 0.000
Ce 2.267 3.949 3.271
Ce 2.267 0.000 3.271
Ce 2.267 -3.949 3.271
Er 3.404 1.968 0.000
Er 3.404 -1.968 0.000
S 1.145 1.987 1.547
S 0.019 0.000 5.003
S 1.145 -1.987 1.547
S 3.389 1.987 4.995
S 4.515 0.000 1.539
S 3.389 -1.987 4.995
```